(1)
# Ca5B3N6

Ca5B3N6 after structural relaxation (PBE, the Alexandria database).

Properties
Spin magnetization: 0.0 μB/cell
Raw total energy: -6.82 eV/atom

Cell: 7.395 7.395 7.395 Å, 90.00 90.00 90.00°
Space group Im-3m (No. 229)
Symmetry-distinct sites (fractional):
Ca 0.000 0.000 0.000 [2 per cell]
Ca 0.250 0.250 0.250 [8 per cell]
B 0.000 0.000 0.500 [6 per cell]
N 0.000 0.000 0.318 [12 per cell]

(2)
# CaBN2

CaBN2 after structural relaxation (PBE, the Alexandria database).

Properties
Spin magnetization: 0.0 μB/cell
Raw total energy: -6.84 eV/atom

Cell: 5.398 5.941 3.520 Å, 90.00 90.00 90.00°
Space group Cmmm (No. 65)
Symmetry-distinct sites (fractional):
Ca 0.000 0.000 0.000 [2 per cell]
B 0.000 0.500 0.500 [2 per cell]
N 0.000 0.275 0.500 [4 per cell]

(3)
# CaBN2

CaBN2 after structural relaxation (PBE, the Alexandria database).

Properties
Spin magnetization: 0.0 μB/cell
Raw total energy: -6.88 eV/atom

Cell: 5.070 5.070 6.080 Å, 90.00 90.00 90.00°
Space group I-42d (No. 122)
Symmetry-distinct sites (fractional):
Ca 0.000 0.000 0.000 [4 per cell]
B 0.000 0.000 0.500 [4 per cell]
N 0.115 0.750 0.625 [8 per cell]

(4)
# Ca3B2N4

Ca3B2N4 after structural relaxation (PBE, the Alexandria database).

Properties
Spin magnetization: 0.0 μB/cell
Raw total energy: -6.95 eV/atom

Cell: 11.257 3.657 8.141 Å, 90.00 130.31 90.00°
Space group C2/m (No. 12)
Symmetry-distinct sites (fractional):
Ca 0.000 0.000 0.000 [2 per cell]
Ca 0.104 0.500 0.435 [4 per cell]
B 0.189 0.000 0.769 [4 per cell]
N 0.067 0.000 0.761 [4 per cell]
N 0.204 0.500 0.260 [4 per cell]

(5)
# CaBN2

CaBN2 after structural relaxation (PBE, the Alexandria database).

Properties
Spin magnetization: 3.0 μB/cell
Raw total energy: -6.99 eV/atom

Cell: 3.6532 3.6532 15.8253 Å, 90.00 90.00 120.00°
Space group R-3m (No. 166, hexagonal axes)
Symmetry-distinct sites (fractional):
Ca 0.0000 0.0000 0.0000 [3 per cell]
B 0.0000 0.0000 0.5000 [3 per cell]
N 0.0000 0.0000 0.4155 [6 per cell]

(6)
# Ca2BN

Ca2BN after structural relaxation (PBE, the Alexandria database).

Properties
Polymorph energy (0 for the lowest one): 0.099 eV per atom
Spin magnetization: 1.9 μB/cell
Raw total energy: -4.24 eV/atom

Cell: 6.337 6.337 6.337 Å, 90.00 90.00 90.00°
Space group Fm-3m (No. 225)
Symmetry-distinct sites (fractional):
Ca 0.250 0.250 0.250 [8 per cell]
B 0.000 0.000 0.000 [4 per cell]
N 0.000 0.000 0.500 [4 per cell]

(7)
# CaBN2O

CaBN2O after structural relaxation (PBE, the Alexandria database).

Properties
Spin magnetization: 5.0 μB/cell
Raw total energy: -3.98 eV/atom

Cell: 4.723 4.723 4.350 Å, 90.00 90.00 90.00°
Space group P4/mmm (No. 123)
Symmetry-distinct sites (fractional):
Ca 0.000 0.000 0.000 [1 per cell]
B 0.500 0.500 0.500 [1 per cell]
N 0.000 0.500 0.000 [2 per cell]
O 0.000 0.000 0.500 [1 per cell]

(8)
# CaBN2O

CaBN2O after structural relaxation (PBE, the Alexandria database).

Properties
Spin magnetization: 0.0 μB/cell
Raw total energy: -6.27 eV/atom

Cell: 3.157 3.157 5.250 Å, 90.00 90.00 90.00°
Space group P4/mmm (No. 123)
Symmetry-distinct sites (fractional):
Ca 0.000 0.000 0.000 [1 per cell]
B 0.500 0.500 0.500 [1 per cell]
N 0.000 0.500 0.500 [2 per cell]
O 0.500 0.500 0.000 [1 per cell]

(9)
# CaBNO2

CaBNO2 after structural relaxation (PBE, the Alexandria database).

Properties
Spin magnetization: 1.4 μB/cell
Raw total energy: -6.28 eV/atom

Cell: 3.852 3.852 3.034 Å, 90.00 90.00 90.00°
Space group P4/mmm (No. 123)
Symmetry-distinct sites (fractional):
Ca 0.000 0.000 0.000 [1 per cell]
B 0.500 0.500 0.500 [1 per cell]
N 0.500 0.500 0.000 [1 per cell]
O 0.000 0.500 0.500 [2 per cell]

(10)
# CaBNO2

CaBNO2 after structural relaxation (PBE, the Alexandria database).

Properties
Spin magnetization: 4.0 μB/cell
Raw total energy: -4.08 eV/atom

Cell: 4.429 4.429 4.748 Å, 90.00 90.00 90.00°
Space group P4/mmm (No. 123)
Symmetry-distinct sites (fractional):
Ca 0.000 0.000 0.000 [1 per cell]
B 0.500 0.500 0.500 [1 per cell]
N 0.000 0.000 0.500 [1 per cell]
O 0.000 0.500 0.000 [2 per cell]

(11)
# CaBNO2

CaBNO2 after structural relaxation (PBE, the Alexandria database).

Properties
Spin magnetization: 0.0 μB/cell
Raw total energy: -5.86 eV/atom

Cell: 4.337 4.337 2.744 Å, 90.00 90.00 90.00°
Space group P4/mmm (No. 123)
Symmetry-distinct sites (fractional):
Ca 0.000 0.000 0.000 [1 per cell]
B 0.500 0.500 0.000 [1 per cell]
N 0.500 0.500 0.500 [1 per cell]
O 0.000 0.500 0.500 [2 per cell]

(12)
# CaB2PN4

CaB2PN4 after structural relaxation (PBE, the Alexandria database).

Properties
Spin magnetization: 2.8 μB/cell
Raw total energy: -6.86 eV/atom

Cell: 6.288 6.406 7.041 Å, 90.00 90.00 90.00°
Space group Fmm2 (No. 42)
Symmetry-distinct sites (fractional):
Ca 0.000 0.000 0.000 [4 per cell]
B 0.250 0.250 0.249 [8 per cell]
P 0.000 0.000 0.497 [4 per cell]
N 0.000 0.199 0.651 [8 per cell]
N 0.200 0.000 0.344 [8 per cell]

(13)
# CaBPN2

CaBPN2 after structural relaxation (PBE, the Alexandria database).

Properties
Spin magnetization: 0.0 μB/cell
Raw total energy: -5.64 eV/atom

Cell: 3.815 3.815 3.660 Å, 90.00 90.00 90.00°
Space group P4/mmm (No. 123)
Symmetry-distinct sites (fractional):
Ca 0.000 0.000 0.000 [1 per cell]
B 0.500 0.500 0.000 [1 per cell]
P 0.500 0.500 0.500 [1 per cell]
N 0.000 0.500 0.500 [2 per cell]